Entry 1:
This record from the Alexandria database describes a relaxed structure of MnTePt2. The functional is PBE-GGA.

Properties
ΔE_f (raw) (meV per atom): -33
Total DFT energy (no corrections) (eV per atom): -6.13
Theoretical density (g cm⁻³): 13.64

a b c (Å): 4.0785 4.0785 8.3852
angles (deg): 90.00 90.00 90.00
Space group I-4m2 (No. 119)
Asymmetric unit:
Mn  0.0000  0.0000  0.0000 x2
Te  0.0000  0.5000  0.2500 x2
Pt  0.0000  0.0000  0.5000 x2
Pt  0.0000  0.5000  0.7500 x2

=====

Entry 2:
This record from the Alexandria database describes a relaxed structure of V2TcRu4. The functional is PBE-GGA.

Properties
Total DFT energy (no corrections) (eV per atom): -9.46
Theoretical density (g cm⁻³): 10.18

a b c (Å): 5.1369 6.6334 6.9314
angles (deg): 111.32 104.43 104.65
Space group P1 (No. 1)
Asymmetric unit:
V  0.0000  0.0000  0.0000 x1
V  0.0191  0.4281  0.3930 x1
V  0.2807  0.7419  0.2219 x1
V  0.6461  0.5341  0.7208 x1
Tc  0.5170  0.8967  0.6866 x1
Tc  0.8266  0.1509  0.5403 x1
Ru  0.2023  0.6133  0.8181 x1
Ru  0.2700  0.1086  0.4320 x1
Ru  0.3302  0.2596  0.8597 x1
Ru  0.4597  0.4575  0.3130 x1
Ru  0.5415  0.0677  0.1081 x1
Ru  0.7366  0.7362  0.1531 x1
Ru  0.8835  0.3422  0.9705 x1
Ru  0.9697  0.8130  0.5697 x1

=====

Entry 3:
This record from the Alexandria database describes a relaxed structure of YTaTeI2. The functional is PBE-GGA.

Properties
ΔE_f (raw) (meV per atom): 284
Total DFT energy (no corrections) (eV per atom): -4.63
Theoretical density (g cm⁻³): 6.52

a b c (Å): 5.4998 5.4998 5.4823
angles (deg): 90.00 90.00 90.00
Space group P4/mmm (No. 123)
Asymmetric unit:
Y  0.0000  0.0000  0.0000 x1
Ta  0.5000  0.5000  0.5000 x1
Te  0.5000  0.5000  0.0000 x1
I  0.0000  0.5000  0.5000 x2

=====

Entry 4:
This record from the Alexandria database describes a relaxed structure of LiHBr. The functional is PBE-GGA.

Properties
Total DFT energy (no corrections) (eV per atom): -3.30
Theoretical density (g cm⁻³): 2.64

a b c (Å): 4.1748 4.2223 7.1343
angles (deg): 89.41 89.63 61.63
Space group P1 (No. 1)
Asymmetric unit:
Li  0.0000  0.0000  0.0000 x1
Li  0.3406  0.3569  0.4993 x1
H  0.6663  0.6517  0.3301 x1
H  0.6688  0.6833  0.4338 x1
Br  0.0032  0.0077  0.6448 x1
Br  0.3351  0.3394  0.1163 x1

=====

Entry 5:
This record from the Alexandria database describes a relaxed structure of CaLaTl2. The functional is PBE-GGA.

Properties
Total DFT energy (no corrections) (eV per atom): -3.23
Theoretical density (g cm⁻³): 7.81

a b c (Å): 3.9936 5.3320 11.7413
angles (deg): 90.00 90.00 90.00
Space group Imm2 (No. 44)
Asymmetric unit:
Ca  0.0000  0.0000  0.0000 x2
La  0.0000  0.5000  0.7712 x2
Tl  0.0000  0.0000  0.5217 x2
Tl  0.0000  0.5000  0.2316 x2

=====

Entry 6:
This record from the Alexandria database describes a relaxed structure of HfNi2Pd4. The functional is PBE-GGA.

Properties
Total DFT energy (no corrections) (eV per atom): -6.22
Theoretical density (g cm⁻³): 10.96

a b c (Å): 5.2856 8.7821 4.7120
angles (deg): 90.00 92.21 90.00
Space group C2/m (No. 12)
Asymmetric unit:
Hf  0.0000  0.0000  0.0000 x2
Ni  0.0367  0.5000  0.2555 x4
Pd  0.0000  0.1720  0.5000 x4
Pd  0.2500  0.2500  0.0000 x4

=====

Entry 7:
This record from the Alexandria database describes a relaxed structure of Cs2InHgF6. The functional is PBE-GGA.

Properties
ΔE_f (raw) (meV per atom): -2332
Total DFT energy (no corrections) (eV per atom): -3.93
Theoretical density (g cm⁻³): 5.49

a b c (Å): 9.4396 9.4396 9.4396
angles (deg): 90.00 90.00 90.00
Space group Fm-3m (No. 225)
Asymmetric unit:
Cs  0.2500  0.2500  0.2500 x8
In  0.0000  0.0000  0.0000 x4
Hg  0.0000  0.0000  0.5000 x4
F  0.0000  0.0000  0.2245 x24